DFT (PBE) results for an optimized crystal structure of GaRe3P.

Calculated values
**Electronic total energy**: -41.19 eV per cell
**Offset from the most stable computed form**: 0 meV per atom
**Crystal system**: cubic
**Calculated volume**: 84.0 Å³/cell

The structure in extended XYZ format:
```
5
Lattice="4.3791 0.0000 0.0000 0.0000 4.3791 0.0000 0.0000 0.0000 4.3791" Properties=species:S:1:pos:R:3 pbc="T T T"
Ga 0.0000 0.0000 0.0000
Re 0.0000 2.1895 2.1895
Re 2.1895 0.0000 2.1895
Re 2.1895 2.1895 0.0000
P 2.1895 2.1895 2.1895
```



DFT (PBE) results for an optimized crystal structure of Sr2AlBi.

Calculated values
**Electronic total energy**: -46.06 eV per cell
**Offset from the most stable computed form**: 251 meV per atom
**Crystal system**: tetragonal
**Calculated volume**: 590.9 Å³/cell

The structure in extended XYZ format:
```
16
Lattice="8.9364 0.0000 0.0000 0.0000 8.9364 0.0000 0.0000 0.0000 7.3994" Properties=species:S:1:pos:R:3 pbc="T T T"
Sr 2.2196 2.2341 0.9249
Sr 2.2341 6.6878 2.7748
Sr 2.2341 6.7169 6.4745
Sr 2.2486 2.2341 4.6247
Sr 6.6878 6.7023 4.6247
Sr 6.7023 2.2196 6.4745
Sr 6.7023 2.2486 2.7748
Sr 6.7169 6.7023 0.9249
Al 0.0000 0.0000 0.0000
Al 0.0000 4.4682 1.8499
Al 4.4682 0.0000 5.5496
Al 4.4682 4.4682 3.6997
Bi 0.0000 0.0000 3.6997
Bi 0.0000 4.4682 5.5496
Bi 4.4682 0.0000 1.8499
Bi 4.4682 4.4682 0.0000
```



DFT (PBE) results for an optimized crystal structure of Ti2ZnPd2.

Calculated values
**Electronic total energy**: -58.91 eV per cell
**Offset from the most stable computed form**: 21 meV per atom
**Crystal system**: monoclinic
**Calculated volume**: 155.0 Å³/cell

The structure in extended XYZ format:
```
10
Lattice="4.7772 -2.2363 0.0000 4.7772 2.2363 0.0000 -2.5518 0.0000 7.2557" Properties=species:S:1:pos:R:3 pbc="T T T"
Ti -0.4609 0.0000 2.5811
Ti 1.3106 0.0000 0.3966
Ti 5.6920 0.0000 6.8590
Ti 7.4635 0.0000 4.6745
Zn 0.6132 0.0000 5.3348
Zn 6.3893 0.0000 1.9209
Pd 2.1779 0.0000 3.1764
Pd 3.8903 0.0000 1.0175
Pd 3.1123 0.0000 6.2382
Pd 4.8247 0.0000 4.0793
```



| no. | formation energy (eV/atom) |
| --- | --- |
| 1 | 0.92 |
| 2 | -0.13 |
| 3 | -0.40 |